Compound: Tb3Nd2Y6Sc
Source: the Alexandria database
Functional: PBE
Structure: optimized geometry

ΔE_f = 0.027 eV per atom
Total magnetic moment = 0.000 μB per formula unit

Cell: 6.1657 10.6750 11.8087 Å, 90.00 99.98 90.00°
Space group C2/m (No. 12)
Unique sites:
1 Tb 0.0000 0.0000 0.0000 x2
2 Tb 0.0000 0.3337 0.0000 x4
3 Nd 0.0000 0.1663 0.5000 x4
4 Y 0.2474 0.5000 0.2497 x4
5 Y 0.2479 0.3349 0.7497 x8
6 Sc 0.0000 0.5000 0.5000 x2